Entry 1:
Material: AcNd4Y15
Method: DFT, PBE-GGA
State: relaxed

Cell lengths 5.1196, 5.1196, 25.4624 Å; angles 90.00, 90.00, 90.00 degrees
Space group P4/mmm (No. 123)
Inequivalent atoms, fractional coordinates:
Ac 0.0000 0.0000 0.0000
Nd 0.0000 0.0000 0.2020
Nd 0.0000 0.0000 0.4008
Y 0.0000 0.5000 0.1038
Y 0.0000 0.5000 0.3017
Y 0.0000 0.5000 0.5000
Y 0.5000 0.5000 0.0000
Y 0.5000 0.5000 0.2026
Y 0.5000 0.5000 0.4008

Computed properties:
Uncorrected energy: -5.98 eV/atom
Crystal system: tetragonal
DFT formation energy: 0.55 eV per formula unit


Entry 2:
Material: LaNdYTe3
Method: DFT, PBE-GGA
State: relaxed

Cell lengths 8.6509, 4.4169, 10.9207 Å; angles 90.00, 104.88, 90.00 degrees
Space group P2_1/m (No. 11)
Inequivalent atoms, fractional coordinates:
La 0.1929 0.2500 0.2206
Nd 0.3347 0.7500 0.9102
Y 0.1547 0.2500 0.6208
Te 0.0779 0.2500 0.8871
Te 0.2202 0.7500 0.4527
Te 0.4847 0.7500 0.2115

Computed properties:
Uncorrected energy: -5.58 eV/atom
Formation energy without anion corrections: -1.32 eV per atom
Crystal system: monoclinic


Entry 3:
Material: BaTlSn3
Method: DFT, PBE-GGA
State: relaxed

Cell lengths 4.8812, 30.4850, 4.7378 Å; angles 90.00, 90.00, 90.00 degrees
Space group Cmcm (No. 63)
Inequivalent atoms, fractional coordinates:
Ba 0.0000 0.0746 0.2500
Tl 0.0000 0.2052 0.7500
Sn 0.0000 0.3151 0.7500
Sn 0.0000 0.3742 0.2500
Sn 0.0000 0.4726 0.2500

Computed properties:
Uncorrected energy: -3.54 eV/atom
Excess energy over the best structure of this formula in the dataset: 0.0 meV/atom
Crystal system: orthorhombic
DFT formation energy: -1.40 eV per formula unit


Entry 4:
Material: DyTeSe
Method: DFT, PBE-GGA
State: relaxed

Cell lengths 3.7982, 3.7982, 10.8034 Å; angles 90.00, 90.00, 90.00 degrees
Space group I4mm (No. 107)
Inequivalent atoms, fractional coordinates:
Dy 0.0000 0.0000 0.0000
Te 0.0000 0.0000 0.6787
Se 0.0000 0.0000 0.3904

Computed properties:
Uncorrected energy: -4.91 eV/atom
Formation energy without anion corrections: -1.17 eV per atom
Excess energy over the best structure of this formula in the dataset: 242.8 meV/atom
Crystal system: tetragonal


Entry 5:
Material: La6CoRh2Au
Method: DFT, PBE-GGA
State: relaxed

Cell lengths 7.1883, 7.1890, 7.8627 Å; angles 117.17, 90.06, 119.93 degrees
Space group P1 (No. 1)
Inequivalent atoms, fractional coordinates:
La 0.0000 0.0000 0.0000
La 0.1162 0.6524 0.4764
La 0.2752 0.6451 0.9996
La 0.4682 0.3101 0.4756
La 0.6458 0.3696 0.9985
La 0.8106 0.0039 0.4754
Co 0.0589 0.8425 0.2560
Rh 0.2156 0.1562 0.7265
Rh 0.7091 0.1438 0.2078
Au 0.5587 0.8417 0.7551

Computed properties:
Uncorrected energy: -5.95 eV/atom
Crystal system: triclinic
DFT formation energy: -4.86 eV per formula unit


Entry 6:
Material: LiZnSb2
Method: DFT, PBE-GGA
State: relaxed

Cell lengths 8.7382, 3.6721, 5.7420 Å; angles 90.00, 106.22, 90.00 degrees
Space group C2/m (No. 12)
Inequivalent atoms, fractional coordinates:
Li 0.0000 0.0000 0.0000
Zn 0.0000 0.5000 0.5000
Sb 0.2451 0.0000 0.7647

Computed properties:
Uncorrected energy: -2.96 eV/atom
Formation energy without anion corrections: -0.10 eV per atom
Crystal system: monoclinic


Entry 7:
Material: CeThGa
Method: DFT, PBE-GGA
State: relaxed

Cell lengths 3.9668, 3.9668, 10.0036 Å; angles 90.00, 90.00, 90.00 degrees
Space group I4mm (No. 107)
Inequivalent atoms, fractional coordinates:
Ce 0.0000 0.0000 0.0000
Th 0.0000 0.0000 0.7049
Ga 0.0000 0.0000 0.3537

Computed properties:
Uncorrected energy: -5.71 eV/atom
Excess energy over the best structure of this formula in the dataset: 0.0 meV/atom
Crystal system: tetragonal
DFT formation energy: -0.75 eV per formula unit


Entry 8:
Material: CuReAsN2
Method: DFT, PBE-GGA
State: relaxed

Cell lengths 3.7859, 3.7859, 5.3065 Å; angles 90.00, 90.00, 90.00 degrees
Space group P4/mmm (No. 123)
Inequivalent atoms, fractional coordinates:
Cu 0.0000 0.0000 0.0000
Re 0.0000 0.0000 0.5000
As 0.5000 0.5000 0.0000
N 0.0000 0.5000 0.5000

Computed properties:
Uncorrected energy: -6.80 eV/atom
Formation energy without anion corrections: 0.77 eV per atom
Crystal system: tetragonal


Entry 9:
Material: Ho2Co3Ru
Method: DFT, PBE-GGA
State: relaxed

Cell lengths 8.8404, 5.0957, 5.1317 Å; angles 90.00, 124.90, 90.00 degrees
Space group C2/m (No. 12)
Inequivalent atoms, fractional coordinates:
Ho 0.1251 0.0000 0.3750
Co 0.0000 0.5000 0.0000
Co 0.2500 0.2500 0.0000
Ru 0.0000 0.5000 0.5000

Computed properties:
Uncorrected energy: -6.87 eV/atom
Crystal system: monoclinic
DFT formation energy: -1.49 eV per formula unit


Entry 10:
Material: PaIrRhO6
Method: DFT, PBE-GGA
State: relaxed

Cell lengths 5.3025, 5.3025, 9.0082 Å; angles 90.00, 90.00, 120.00 degrees
Space group P-31c (No. 163)
Inequivalent atoms, fractional coordinates:
Pa 0.3333 0.6667 0.2500
Ir 0.3333 0.6667 0.7500
Rh 0.0000 0.0000 0.0000
O 0.0204 0.3399 0.6229

Computed properties:
Uncorrected energy: -7.87 eV/atom
Formation energy without anion corrections: -1.71 eV per atom
Crystal system: trigonal


Entry 11:
Material: AsOsC3
Method: DFT, PBE-GGA
State: relaxed

Cell lengths 3.8357, 3.8357, 3.8357 Å; angles 90.00, 90.00, 90.00 degrees
Space group Pm-3m (No. 221)
Inequivalent atoms, fractional coordinates:
As 0.0000 0.0000 0.0000
Os 0.5000 0.5000 0.5000
C 0.0000 0.0000 0.5000

Computed properties:
Uncorrected energy: -5.71 eV/atom
Excess energy over the best structure of this formula in the dataset: 867.6 meV/atom
Crystal system: cubic
DFT formation energy: 15.02 eV per formula unit


Entry 12:
Material: K2RbDy
Method: DFT, PBE-GGA
State: relaxed

Cell lengths 3.9683, 3.9683, 48.3914 Å; angles 90.00, 90.00, 120.00 degrees
Space group R-3m (No. 166, hexagonal axes)
Inequivalent atoms, fractional coordinates:
K 0.0000 0.0000 0.0777
Rb 0.0000 0.0000 0.5000
Dy 0.0000 0.0000 0.0000

Computed properties:
Uncorrected energy: -1.47 eV/atom
Crystal system: trigonal
DFT formation energy: 1.88 eV per formula unit